Below is a geometry-optimized NdGa6Ag2 structure, with properties calculated at the PBE level.

Summary:
energy relative to the elements	-0.141	eV per atom
total moment	0.000	μB per formula unit

Lattice parameters (Å, degrees): 7.3801 7.3801 7.3801 147.07 121.27 69.00
Last column: nearest neighbours and their distance in Å.
Element x y z (fractional)
Nd  0.0000  0.0000  0.0000  12 Ga 3.14-3.44
Ga  0.0069  0.6945  0.3124  4 Ga 2.56-2.72, 1 Ag 2.69
Ga  0.3233  0.5000  0.8233  3 Ga 2.56, 4 Ag 2.82
Ga  0.3821  0.6945  0.6876  4 Ga 2.56-2.72, 1 Ag 2.69
Ga  0.6179  0.3055  0.3124  4 Ga 2.56-2.72, 1 Ag 2.69
Ga  0.6767  0.5000  0.1767  3 Ga 2.56, 4 Ag 2.82
Ga  0.9931  0.3055  0.6876  4 Ga 2.56-2.72, 1 Ag 2.69
Ag  0.3854  0.8854  0.5000  6 Ga 2.69-2.82, 1 Ag 2.79
Ag  0.6146  0.1146  0.5000  6 Ga 2.69-2.82, 1 Ag 2.79